Entry 1:
The following is a PBE-GGA calculation of Li3Tl2Ga after structural relaxation, from the Alexandria database.

Unit cell a=4.6548 b=7.1558 c=7.3282 alpha=90.00 beta=108.18 gamma=90.00
Last column: nearest neighbours and their distance in Å.
Fractional positions:
Li1 0.0000 0.2326 0.0000  6 Tl 2.86-3.01, 2 Ga 2.92
Li2 0.0000 0.7674 0.0000  6 Tl 2.86-3.01, 2 Ga 2.92
Li3 0.3305 0.2324 0.6603  3 Ga 2.75-2.86, 5 Tl 2.89-3.04
Li4 0.3305 0.7676 0.6603  3 Ga 2.75-2.86, 5 Tl 2.89-3.04
Li5 0.6695 0.2324 0.3397  3 Ga 2.75-2.86, 5 Tl 2.89-3.04
Li6 0.6695 0.7676 0.3397  3 Ga 2.75-2.86, 5 Tl 2.89-3.04
Tl1 0.1661 0.5000 0.3328  8 Li 2.98-3.01, 4 Tl 3.28-3.30
Tl2 0.5000 0.0000 0.0000  8 Li 2.86-2.89
Tl3 0.5000 0.5000 0.0000  8 Li 3.01-3.04, 4 Tl 3.28-3.29
Tl4 0.8339 0.5000 0.6672  8 Li 2.98-3.01, 4 Tl 3.28-3.30
Ga1 0.1718 0.0000 0.3449  8 Li 2.75-2.92
Ga2 0.8282 0.0000 0.6551  8 Li 2.75-2.92

Computed properties:
Calculated total energy in eV per atom: -2.47
Formation energy from the elements in eV/atom: -0.219
Size of the total moment in μB per cell: 0.00

Entry 2:
The following is a PBE-GGA calculation of Cs2BrCl after structural relaxation, from the Alexandria database.

Unit cell a=8.9376 b=8.9376 c=8.9376 alpha=33.09 beta=33.09 gamma=33.09
Last column: nearest neighbours and their distance in Å.
Fractional positions:
Cs1 0.2459 0.2459 0.2459  3 Cl 3.56, 3 Br 3.68
Cs2 0.7541 0.7541 0.7541  3 Cl 3.56, 3 Br 3.68
Br1 0.0000 0.0000 0.0000  6 Cs 3.68
Cl1 0.5000 0.5000 0.5000  6 Cs 3.56

Computed properties:
Calculated total energy in eV per atom: -3.18
Energy relative to the elements, uncorrected in meV/atom: -1874
Polymorph energy (0 for the lowest one) in meV/atom: 0.0
Size of the total moment in μB per cell: 0.16

Entry 3:
The following is a PBE-GGA calculation of Ba2HgS after structural relaxation, from the Alexandria database.

Unit cell a=5.7340 b=5.7340 c=5.7340 alpha=60.00 beta=60.00 gamma=60.00
Last column: nearest neighbours and their distance in Å.
Fractional positions:
Ba1 0.2500 0.2500 0.2500  4 S 3.51, 4 Hg 3.51
Ba2 0.7500 0.7500 0.7500  4 Hg 3.51, 4 S 3.51
Hg1 0.0000 0.0000 0.0000  8 Ba 3.51
S1 0.5000 0.5000 0.5000  8 Ba 3.51

Computed properties:
Calculated total energy in eV per atom: -2.94
Energy relative to the elements, uncorrected in meV/atom: -867
Polymorph energy (0 for the lowest one) in meV/atom: 291.9
Size of the total moment in μB per cell: 0.00